<i>
Compound: Sc3In
Source: Alexandria via LeMat-Bulk
Functional: PBEsol
Structure: optimized geometry

Geometry as POSCAR:
```
Sc3In
1.0
-2.5029 0.8321 -1.9783
-0.7019 -4.2373 -0.8941
-3.9275 -0.3654 4.8152
Sc In
3 1
direct
0.5000 0.5000 0.7485 Sc
0.0000 0.0000 0.5000 Sc
0.5000 0.5000 0.2515 Sc
0.0000 0.0000 0.0000 In
```

Output
density of states at the Fermi level	5.9	states/eV/f.u.
total magnetization	0.0	μB/f.u.

---

<ii>
Compound: Sc3In
Source: Alexandria via LeMat-Bulk
Functional: PBEsol
Structure: optimized geometry

Geometry as POSCAR:
```
Sc3In
1.0
-3.3954 0.8861 2.7414
2.2479 -1.8353 3.3774
1.8019 3.9592 0.9521
Sc In
3 1
direct
0.0000 0.5000 0.5000 Sc
0.5000 0.0000 0.5000 Sc
0.5000 0.5000 0.0000 Sc
0.0000 0.0000 0.0000 In
```

Output
density of states at the Fermi level	5.3	states/eV/f.u.
total magnetization	1.4	μB/f.u.

---

Least stable: <i>

---

<i>
Compound: Sc3In
Source: Alexandria via LeMat-Bulk
Functional: PBEsol
Structure: optimized geometry

Geometry as POSCAR:
```
Sc3In
1.0
5.0284 0.0000 0.0000
0.0000 5.7425 0.0000
0.0000 0.0000 6.1501
In Sc
2 6
direct
0.0000 0.3383 0.0000 In
0.5000 0.6617 0.5000 In
0.5000 0.6349 0.0000 Sc
0.0000 0.3651 0.5000 Sc
0.0000 0.8513 0.7458 Sc
0.0000 0.8513 0.2542 Sc
0.5000 0.1487 0.2458 Sc
0.5000 0.1487 0.7542 Sc
```

Output
density of states at the Fermi level	5.9	states/eV/f.u.
total magnetization	0.3	μB/f.u.

---

<ii>
Compound: Sc3In
Source: Alexandria via LeMat-Bulk
Functional: PBEsol
Structure: optimized geometry

Geometry as POSCAR:
```
Sc3In
1.0
-0.5378 -2.4385 3.5474
1.5624 -3.4418 -2.1290
3.8322 4.0380 0.7042
Sc In
3 1
direct
0.7500 0.2500 0.5000 Sc
0.5000 0.5000 0.0000 Sc
0.2500 0.7500 0.5000 Sc
0.0000 0.0000 0.0000 In
```

Output
density of states at the Fermi level	5.5	states/eV/f.u.
total magnetization	0.0	μB/f.u.

---

Least stable: <ii>

---

<i>
Compound: Sc3In
Source: Alexandria via LeMat-Bulk
Functional: PBEsol
Structure: optimized geometry

Geometry as POSCAR:
```
Sc3In
1.0
-1.5055 1.3225 -2.5570
1.0576 -4.4347 -2.9164
-4.1941 -0.5066 4.2711
Sc In
3 1
direct
0.5000 0.5171 0.0000 Sc
0.2633 0.9245 0.5266 Sc
0.7367 0.3979 0.4734 Sc
0.0000 0.9938 0.0000 In
```

Output
density of states at the Fermi level	4.3	states/eV/f.u.
total magnetization	0.0	μB/f.u.

---

<ii>
Compound: Sc3In
Source: Alexandria via LeMat-Bulk
Functional: PBEsol
Structure: optimized geometry

Geometry as POSCAR:
```
Sc3In
1.0
-2.2665 1.2235 2.5806
-3.6511 -2.3282 -2.1029
3.9627 -3.5937 2.6085
Sc In
3 1
direct
0.7322 0.7322 0.4643 Sc
0.2678 0.2678 0.5357 Sc
0.5000 0.0000 0.0000 Sc
0.0000 0.5000 0.0000 In
```

Output
density of states at the Fermi level	3.3	states/eV/f.u.
total magnetization	0.0	μB/f.u.

---

Least stable: <i>